This record from the Alexandria database describes crystalline BeCdPt3 at its relaxed geometry. The functional is PBE.

Cell lengths 5.4632, 11.6863, 5.0011 Å; angles 90.00, 90.00, 90.00 degrees
Closest atoms and distances in Å follow each position.
Space group Cmcm (No. 63)
Symmetry-distinct sites (fractional):
Be: 0.0000 0.1700 0.2500 x4  4 Pt 2.26-2.35
Cd: 0.0000 0.4058 0.7500 x4  2 Be 2.87, 10 Pt 2.98-3.20
Pt: 0.0000 0.0000 0.0000 x4  2 Be 2.35, 2 Pt 2.50
Pt: 0.2448 0.1782 0.7500 x8  1 Be 2.26

Summary:
**Energy above the lowest structure with this stoichiometry**: 194 meV per atom
**Formation enthalpy at 0 K**: -1.220 eV per formula unit

***

This record from the Alexandria database describes crystalline CeYMg14 at its relaxed geometry. The functional is PBE.

Cell lengths 10.5928, 6.4026, 11.5092 Å; angles 90.00, 90.00, 90.00 degrees
Closest atoms and distances in Å follow each position.
Space group Amm2 (No. 38)
Symmetry-distinct sites (fractional):
Ce: 0.0000 0.0000 0.0000 x2  2 Y 3.20, 10 Mg 3.29-3.33
Y: 0.0000 0.0000 0.4964 x2  2 Ce 3.20, 10 Mg 3.25-3.34
Mg: 0.0000 0.2492 0.2508 x4  8 Mg 3.19-3.34, 2 Y 3.25-3.34, 2 Ce 3.29-3.30
Mg: 0.2496 0.0000 0.6680 x4  11 Mg 3.20-3.33, 1 Y 3.30
Mg: 0.2538 0.0000 0.1684 x4  11 Mg 3.20-3.32, 1 Ce 3.31
Mg: 0.2595 0.2492 0.9150 x8  10 Mg 3.16-3.34, 1 Y 3.32, 1 Ce 3.33
Mg: 0.5000 0.0000 0.0049 x2  12 Mg 3.18-3.32
Mg: 0.5000 0.0000 0.5051 x2  12 Mg 3.18-3.32
Mg: 0.5000 0.2505 0.2522 x4  12 Mg 3.16-3.32

Summary:
**Energy above the lowest structure with this stoichiometry**: 41 meV per atom
**Formation enthalpy at 0 K**: 0.477 eV per formula unit

***

This record from the Alexandria database describes crystalline LaRe4Te at its relaxed geometry. The functional is PBE.

Cell lengths 7.7278, 7.7278, 7.7278 Å; angles 90.00, 90.00, 90.00 degrees
Closest atoms and distances in Å follow each position.
Space group F-43m (No. 216)
Symmetry-distinct sites (fractional):
La: 0.0000 0.0000 0.0000 x4  12 Re 3.21, 4 Te 3.35
Re: 0.1240 0.1240 0.6240 x16  6 Re 2.71-2.75
Te: 0.2500 0.2500 0.2500 x4  12 Re 3.20, 4 La 3.35

Summary:
**Raw formation energy**: 2.81 eV/f.u.

***

This record from the Alexandria database describes crystalline GeTe2 at its relaxed geometry. The functional is PBE.

Cell lengths 5.9868, 7.7497, 8.0849 Å; angles 90.00, 90.00, 90.00 degrees
Closest atoms and distances in Å follow each position.
Space group Pbcn (No. 60)
Symmetry-distinct sites (fractional):
Ge: 0.0000 0.1092 0.2500 x4  6 Te 2.95-3.16
Te: 0.1775 0.3815 0.0311 x8  1 Te 2.85, 3 Ge 2.95-3.16

Summary:
**Raw formation energy**: 0.13 eV/f.u.

***

This record from the Alexandria database describes crystalline ErTiCo2 at its relaxed geometry. The functional is PBE.

Cell lengths 6.3005, 6.3005, 6.3005 Å; angles 90.00, 90.00, 90.00 degrees
Closest atoms and distances in Å follow each position.
Space group Fm-3m (No. 225)
Symmetry-distinct sites (fractional):
Er: 0.0000 0.0000 0.0000 x4  8 Co 2.73
Ti: 0.0000 0.0000 0.5000 x4  8 Co 2.73
Co: 0.2500 0.2500 0.2500 x8  4 Er 2.73, 4 Ti 2.73

Summary:
**Energy above the lowest structure with this stoichiometry**: 91 meV per atom
**Formation enthalpy at 0 K**: -0.731 eV per formula unit

***

This record from the Alexandria database describes crystalline CrRe2Hg at its relaxed geometry. The functional is PBE.

Cell lengths 2.7999, 2.7999, 27.8052 Å; angles 90.00, 90.00, 120.00 degrees
Closest atoms and distances in Å follow each position.
Space group R-3m (No. 166, hexagonal axes)
Symmetry-distinct sites (fractional):
Cr: 0.0000 0.0000 0.0000 x3  6 Re 2.58, 6 Cr 2.80
Re: 0.0000 0.0000 0.2608 x6  3 Cr 2.58, 6 Re 2.80
Hg: 0.0000 0.0000 0.5000 x3  6 Hg 2.80, 6 Re 3.08

Summary:
**Formation enthalpy at 0 K**: 1.927 eV per formula unit

***

This record from the Alexandria database describes crystalline Sm2NbN3 at its relaxed geometry. The functional is PBE.

Cell lengths 9.8982, 6.3950, 5.7245 Å; angles 90.00, 90.00, 90.00 degrees
Closest atoms and distances in Å follow each position.
Space group Cmcm (No. 63)
Symmetry-distinct sites (fractional):
Sm: 0.1729 0.1635 0.2500 x8  5 N 2.40-2.59
Nb: 0.0000 0.3979 0.7500 x4  1 N 1.91
N: 0.0000 0.0991 0.7500 x4  1 Nb 1.91
N: 0.1569 0.5000 0.0000 x8  2 Nb 2.21, 2 Sm 2.45

Summary:
**Energy above the lowest structure with this stoichiometry**: 71 meV per atom
**Raw formation energy**: -6.99 eV/f.u.

***

This record from the Alexandria database describes crystalline CrNi2B at its relaxed geometry. The functional is PBE.

Cell lengths 3.2409, 3.2409, 15.7818 Å; angles 90.00, 90.00, 90.00 degrees
Closest atoms and distances in Å follow each position.
Space group I-42d (No. 122)
Symmetry-distinct sites (fractional):
Cr: 0.0000 0.0000 0.0000 x4  4 B 2.29, 4 Ni 2.30
Ni: 0.2345 0.2500 0.6250 x8  4 Ni 2.22-2.36, 2 B 2.26, 2 Cr 2.30
B: 0.0000 0.0000 0.5000 x4  4 Ni 2.26, 4 Cr 2.29

Summary:
**Formation enthalpy at 0 K**: 1.500 eV per formula unit

***

This record from the Alexandria database describes crystalline NdTmTe at its relaxed geometry. The functional is PBE.

Cell lengths 17.0862, 3.9528, 11.1434 Å; angles 90.00, 91.26, 90.00 degrees
Closest atoms and distances in Å follow each position.
Space group C2/m (No. 12)
Symmetry-distinct sites (fractional):
Nd: 0.0302 0.0000 0.3486 x4  6 Te 3.14-3.37
Nd: 0.1158 0.5000 0.8467 x4  3 Te 3.16-3.38, 1 Tm 3.26
Tm: 0.1965 0.0000 0.0932 x4  2 Te 3.00, 1 Nd 3.26
Tm: 0.2458 0.0000 0.6490 x4  3 Te 3.20-3.29
Te: 0.0688 0.5000 0.1395 x4  2 Tm 3.00, 3 Nd 3.14-3.16
Te: 0.1130 0.5000 0.5470 x4  3 Tm 3.20-3.29, 5 Nd 3.26-3.37

Summary:
**Energy above the lowest structure with this stoichiometry**: 22 meV per atom
**Raw formation energy**: -2.24 eV/f.u.

***

This record from the Alexandria database describes crystalline CrNiSb2Te at its relaxed geometry. The functional is PBE.

Cell lengths 4.8747, 4.8747, 5.1181 Å; angles 90.00, 90.00, 90.00 degrees
Closest atoms and distances in Å follow each position.
Space group P4/mmm (No. 123)
Symmetry-distinct sites (fractional):
Cr: 0.0000 0.0000 0.0000 x1  4 Te 3.45, 8 Sb 3.53
Ni: 0.5000 0.5000 0.5000 x1  4 Sb 2.44, 2 Te 2.56
Sb: 0.0000 0.5000 0.5000 x2  2 Ni 2.44
Te: 0.5000 0.5000 0.0000 x1  2 Ni 2.56

Summary:
**Energy above the lowest structure with this stoichiometry**: 159 meV per atom
**Raw formation energy**: 4.86 eV/f.u.

***

This record from the Alexandria database describes crystalline LaNd7Dy2 at its relaxed geometry. The functional is PBE.

Cell lengths 6.6214, 6.7557, 8.6287 Å; angles 73.15, 71.70, 83.65 degrees
Closest atoms and distances in Å follow each position.
Space group P-1 (No. 2)
Symmetry-distinct sites (fractional):
La: 0.0000 0.0000 0.0000 x1  2 Dy 3.46, 4 Nd 3.61-3.73
Nd: 0.0000 0.0000 0.5000 x1  6 Nd 3.49-3.81, 4 Dy 3.68-3.72
Nd: 0.2029 0.5941 0.7696 x2  6 Nd 3.49-3.75, 3 Dy 3.57-3.85, 1 La 3.73
Nd: 0.2276 0.5409 0.3428 x2  6 Nd 3.33-3.72, 2 Dy 3.39-3.57
Nd: 0.4219 0.2365 0.0609 x2  1 Dy 3.40, 6 Nd 3.49-3.67, 1 La 3.61
Dy: 0.4245 0.1420 0.6371 x2  1 Dy 3.32, 6 Nd 3.39-3.68, 1 La 3.46

Summary:
**Energy above the lowest structure with this stoichiometry**: 0 meV per atom
**Formation enthalpy at 0 K**: 0.753 eV per formula unit

***

This record from the Alexandria database describes crystalline EuErGePd at its relaxed geometry. The functional is PBE.

Cell lengths 7.1671, 7.1671, 7.1671 Å; angles 90.00, 90.00, 90.00 degrees
Closest atoms and distances in Å follow each position.
Space group F-43m (No. 216)
Symmetry-distinct sites (fractional):
Eu: 0.0000 0.0000 0.0000 x4  4 Pd 3.10, 4 Ge 3.10
Er: 0.0000 0.0000 0.5000 x4  4 Ge 3.10, 4 Pd 3.10
Ge: 0.2500 0.2500 0.2500 x4  4 Er 3.10, 4 Eu 3.10
Pd: 0.2500 0.2500 0.7500 x4  4 Er 3.10, 4 Eu 3.10

Summary:
**Formation enthalpy at 0 K**: -2.762 eV per formula unit

***

| no. | density of states at the Fermi level (states/eV/cell) |
| --- | --- |
| 1 | 11.1 |
| 2 | 28.9 |
| 3 | 18.4 |
| 4 | 1.5 |
| 5 | 12.7 |
| 6 | 18.2 |
| 7 | 6.2 |
| 8 | 9.6 |
| 9 | 25.5 |
| 10 | 6.5 |
| 11 | 15.6 |
| 12 | 42.9 |